(1)
The following is a DFT calculation (PBEsol) of SrCuRu after structural relaxation.

Cell: 3.345 3.345 5.699 Å, 107.06 107.06 90.00°
Fractional coordinates of all 3 atoms:
Cu  0.952  0.952  0.904
Ru  0.380  0.380  0.761
Sr  0.668  0.668  0.335

## Properties
**Space group**: I4mm, No. 107
**ΔE_f**: 463 meV per atom
**Crystal system**: tetragonal
**Uncorrected energy**: -4.9863 eV per atom

(2)
The following is a DFT calculation (PBEsol) of IrOsCl2 after structural relaxation.

Cell: 2.851 3.379 7.539 Å, 90.00 90.00 90.00°
Fractional coordinates of all 4 atoms:
Ir  0.000  0.000  0.463
Os  0.500  0.500  0.284
Cl  0.500  0.000  0.067
Cl  0.000  0.500  0.687

## Properties
**E_form (uncorrected)**: 0.118 eV/atom
**Space group**: Pmm2, No. 25
**Crystal system**: orthorhombic
**Uncorrected energy**: -6.3960 eV per atom
**Distance to the lowest polymorph of the same formula**: 0.0 meV per atom

(3)
The following is a DFT calculation (PBEsol) of InSe2 after structural relaxation.

Cell: 3.013 5.040 5.040 Å, 90.00 90.00 90.00°
Fractional coordinates of all 3 atoms:
In  0.000  0.000  0.000
Se  0.500  0.000  0.500
Se  0.500  0.500  0.000

## Properties
**E_form (uncorrected)**: 0.166 eV/atom
**Space group**: P4/mmm, No. 123
**Crystal system**: tetragonal
**Uncorrected energy**: -3.3953 eV per atom

(4)
The following is a DFT calculation (PBEsol) of ZnInTeRh2 after structural relaxation.

Cell: 4.632 4.632 4.636 Å, 90.00 90.00 90.00°
Fractional coordinates of all 5 atoms:
Zn  0.000  0.000  0.000
Te  0.500  0.500  0.500
Rh  0.000  0.500  0.000
Rh  0.500  0.000  0.000
In  0.000  0.000  0.500

## Properties
**E_form (uncorrected)**: 0.682 eV/atom
**Space group**: P4/mmm, No. 123
**Crystal system**: tetragonal
**Uncorrected energy**: -4.1913 eV per atom

(5)
The following is a DFT calculation (PBEsol) of HfV2Ga4 after structural relaxation.

Cell: 5.111 5.178 5.178 Å, 75.90 60.42 60.42°
Fractional coordinates of all 7 atoms:
Hf  0.000  0.000  0.000
Ga  0.697  0.605  0.000
Ga  0.303  0.395  0.000
Ga  0.303  0.000  0.395
Ga  0.697  0.000  0.605
V  0.250  0.500  0.500
V  0.750  0.500  0.500

## Properties
**Space group**: I4/mmm, No. 139
**ΔE_f**: -411 meV per atom
**Crystal system**: tetragonal
**Uncorrected energy**: -6.5729 eV per atom

(6)
The following is a DFT calculation (PBEsol) of CdRe2W after structural relaxation.

Cell: 3.166 4.429 4.474 Å, 90.00 90.00 90.00°
Fractional coordinates of all 4 atoms:
Cd  0.000  0.500  0.500
Re  0.000  0.000  0.000
Re  0.500  0.000  0.500
W  0.500  0.500  0.000

## Properties
**Space group**: Pmmm, No. 47
**ΔE_f**: 731 meV per atom
**Crystal system**: orthorhombic
**Uncorrected energy**: -9.6861 eV per atom